A relaxed NdDy2Y6 crystal, computed with PBE.

Cell lengths 5.0598, 10.7306, 10.7312 Å; angles 90.00, 90.01, 90.00 degrees
With the nearest neighbours (Å) after each atom.
Sites, in units of the cell vectors:
Y 0.0003 0.6668 0.4998  8 Y 3.57-3.58, 3 Dy 3.57-3.58, 1 Nd 3.58
Y 0.9997 0.3332 0.5002  8 Y 3.57-3.58, 3 Dy 3.57-3.58, 1 Nd 3.58
Y 0.0003 0.6675 0.8327  4 Dy 3.57-3.59, 6 Y 3.57-3.58, 2 Nd 3.58-3.59
Y 0.4997 0.1675 0.6673  4 Dy 3.57-3.59, 6 Y 3.57-3.58, 2 Nd 3.58-3.59
Y 0.5003 0.8325 0.3327  4 Dy 3.57-3.59, 6 Y 3.57-3.58, 2 Nd 3.58-3.59
Y 0.9997 0.3325 0.1673  4 Dy 3.57-3.59, 6 Y 3.57-3.58, 2 Nd 3.58-3.59
Y 0.0000 0.0004 0.8333  8 Y 3.57-3.58, 3 Dy 3.57-3.58, 1 Nd 3.58
Y 0.0000 0.9996 0.1667  8 Y 3.57-3.58, 3 Dy 3.57-3.58, 1 Nd 3.58
Y 0.5000 0.5004 0.6667  8 Y 3.57-3.58, 3 Dy 3.57-3.58, 1 Nd 3.58
Y 0.5000 0.4996 0.3333  8 Y 3.57-3.58, 3 Dy 3.57-3.58, 1 Nd 3.58
Y 0.5003 0.8332 0.9998  8 Y 3.57-3.58, 3 Dy 3.57-3.58, 1 Nd 3.58
Y 0.4997 0.1668 0.0002  8 Y 3.57-3.58, 3 Dy 3.57-3.58, 1 Nd 3.58
Dy 0.0003 0.6667 0.1669  10 Y 3.57-3.59, 2 Nd 3.58
Dy 0.4997 0.1667 0.3331  10 Y 3.57-3.59, 2 Nd 3.58
Dy 0.9997 0.3333 0.8331  10 Y 3.57-3.59, 2 Nd 3.58
Dy 0.5003 0.8333 0.6669  10 Y 3.57-3.59, 2 Nd 3.58
Nd 0.5000 0.5000 0.0000  8 Y 3.58-3.59, 4 Dy 3.58
Nd 0.0000 0.0000 0.5000  8 Y 3.58-3.59, 4 Dy 3.58

As for the total energy: -105.1 eV per cell. The calculation puts the formation energy from the elements at 22 meV per atom. For the density of states at the Fermi level, the calculation gives 1.341 states/eV/atom.